w | Compound: SeBrCl
Source: Alexandria
Functional: GGA-PBEsol
Structure: optimized geometry

a b c (Å): 2.840 5.690 5.690
angles (deg): 78.49 75.55 75.55
Sites, in units of the cell vectors:
Br (0.974, 0.026, 0.026)
Se (0.642, 0.358, 0.358)
Cl (0.383, 0.617, 0.617)

Its space group is No. 44. Its total magnetization is 0.00 μB per atom. The calculation puts the volume at 28.43 Å³ per atom.



x | Compound: SeBrCl
Source: Alexandria
Functional: GGA-PBEsol
Structure: optimized geometry

a b c (Å): 3.551 4.023 6.911
angles (deg): 83.49 75.11 63.81
Sites, in units of the cell vectors:
Cl (0.702, 0.000, 0.597)
Br (0.968, 0.000, 0.063)
Se (0.330, 0.000, 0.340)

Its space group is No. 42. Its total magnetization is 0.00 μB per atom. The calculation puts the volume at 28.54 Å³ per atom.



y | Compound: SeBrCl
Source: Alexandria
Functional: GGA-PBEsol
Structure: optimized geometry

a b c (Å): 4.771 4.771 4.771
angles (deg): 60.00 60.00 60.00
Sites, in units of the cell vectors:
Se (0.500, 0.500, 0.500)
Br (0.750, 0.750, 0.750)
Cl (0.000, 0.000, 0.000)

Its space group is No. 216. Its total magnetization is 0.00 μB per atom. The calculation puts the volume at 25.60 Å³ per atom.



Of them, the most stable is x and the least stable is y.



w | Compound: SeBr2Cl
Source: Alexandria
Functional: GGA-PBEsol
Structure: optimized geometry

a b c (Å): 4.928 4.928 4.928
angles (deg): 60.00 60.00 60.00
Sites, in units of the cell vectors:
Se (0.000, 0.000, 0.000)
Br (0.750, 0.750, 0.750)
Cl (0.500, 0.500, 0.500)
Br (0.250, 0.250, 0.250)

Its space group is No. 225. Its total magnetization is 0.00 μB per atom. The calculation puts the volume at 21.15 Å³ per atom.



x | Compound: SeBr2Cl
Source: Alexandria
Functional: GGA-PBEsol
Structure: optimized geometry

a b c (Å): 3.149 3.149 9.335
angles (deg): 90.00 90.00 90.00
Sites, in units of the cell vectors:
Br (0.500, 0.500, 0.245)
Br (0.000, 0.000, 0.942)
Cl (0.000, 0.000, 0.564)
Se (0.500, 0.500, 0.749)

Its space group is No. 99. Its total magnetization is 0.00 μB per atom. The calculation puts the volume at 23.15 Å³ per atom.



y | Compound: SeBr2Cl
Source: Alexandria
Functional: GGA-PBEsol
Structure: optimized geometry

a b c (Å): 4.117 4.117 7.164
angles (deg): 73.30 73.30 60.00
Sites, in units of the cell vectors:
Se (0.000, 0.000, 0.000)
Cl (0.500, 0.500, 0.500)
Br (0.736, 0.736, 0.791)
Br (0.264, 0.264, 0.209)

Its space group is No. 166. Its total magnetization is 0.00 μB per atom. The calculation puts the volume at 24.79 Å³ per atom.



z | Compound: SeBr2Cl
Source: Alexandria
Functional: GGA-PBEsol
Structure: optimized geometry

a b c (Å): 3.836 3.836 7.141
angles (deg): 90.00 90.00 90.00
Sites, in units of the cell vectors:
Cl (0.500, 0.500, 0.500)
Br (0.000, 0.500, 0.000)
Se (0.000, 0.000, 0.500)
Br (0.500, 0.000, 0.000)

Its space group is No. 123. Its total magnetization is 0.00 μB per atom. The calculation puts the volume at 26.27 Å³ per atom.



Of them, the most stable is y and the least stable is w.



w | Compound: SrBr2Cl
Source: Alexandria
Functional: GGA-PBEsol
Structure: optimized geometry

a b c (Å): 5.503 5.503 5.157
angles (deg): 57.76 57.76 60.00
Sites, in units of the cell vectors:
Sr (0.000, 0.000, 0.000)
Br (0.734, 0.734, 0.799)
Br (0.266, 0.266, 0.201)
Cl (0.500, 0.500, 0.500)

Its space group is No. 166. Its total magnetization is 0.25 μB per atom. The calculation puts the volume at 26.63 Å³ per atom.



x | Compound: SrBr2Cl
Source: Alexandria
Functional: GGA-PBEsol
Structure: optimized geometry

a b c (Å): 4.733 4.733 8.851
angles (deg): 74.49 74.49 60.00
Sites, in units of the cell vectors:
Cl (0.000, 0.000, 0.000)
Br (0.888, 0.888, 0.337)
Br (0.112, 0.112, 0.663)
Sr (0.500, 0.500, 0.500)

Its space group is No. 166. Its total magnetization is 0.25 μB per atom. The calculation puts the volume at 40.82 Å³ per atom.



y | Compound: SrBr2Cl
Source: Alexandria
Functional: GGA-PBEsol
Structure: optimized geometry

a b c (Å): 5.299 5.299 5.299
angles (deg): 60.00 60.00 60.00
Sites, in units of the cell vectors:
Sr (0.250, 0.250, 0.250)
Br (0.750, 0.750, 0.750)
Br (0.000, 0.000, 0.000)
Cl (0.500, 0.500, 0.500)

Its space group is No. 216. Its total magnetization is 0.27 μB per atom. The calculation puts the volume at 26.31 Å³ per atom.



Of them, the most stable is w and the least stable is x.



w | Compound: SrBr2Cl
Source: Alexandria
Functional: GGA-PBEsol
Structure: optimized geometry

a b c (Å): 5.178 5.355 5.294
angles (deg): 90.00 90.00 117.51
Sites, in units of the cell vectors:
Br (0.582, 0.383, 0.500)
Cl (0.104, 0.449, 0.000)
Br (0.069, 0.939, 0.000)
Sr (0.245, 0.729, 0.500)

Its space group is No. 6. Its total magnetization is 0.00 μB per atom. The calculation puts the volume at 32.54 Å³ per atom.



x | Compound: SrBr2Cl
Source: Alexandria
Functional: GGA-PBEsol
Structure: optimized geometry

a b c (Å): 4.370 4.370 12.077
angles (deg): 100.42 100.42 90.00
Sites, in units of the cell vectors:
Br (0.883, 0.375, 0.250)
Sr (0.250, 0.750, 0.500)
Br (0.367, 0.875, 0.250)
Br (0.125, 0.117, 0.750)
Sr (0.000, 0.000, 0.000)
Cl (0.500, 0.500, 0.000)
Br (0.625, 0.633, 0.750)
Cl (0.750, 0.250, 0.500)

Its space group is No. 122. Its total magnetization is 0.00 μB per atom. The calculation puts the volume at 27.87 Å³ per atom.



Of them, the most stable is w and the least stable is x.



w | Compound: TaBr2Cl
Source: Alexandria
Functional: GGA-PBEsol
Structure: optimized geometry

a b c (Å): 3.129 4.557 7.496
angles (deg): 107.70 102.05 90.00
Sites, in units of the cell vectors:
Cl (0.500, 0.000, 0.000)
Br (0.349, 0.349, 0.699)
Ta (0.000, 0.500, 0.000)
Br (0.651, 0.651, 0.301)

Its space group is No. 71. Its total magnetization is 0.00 μB per atom. The calculation puts the volume at 24.84 Å³ per atom.



x | Compound: TaBr2Cl
Source: Alexandria
Functional: GGA-PBEsol
Structure: optimized geometry

a b c (Å): 3.074 3.074 8.869
angles (deg): 90.00 90.00 90.00
Sites, in units of the cell vectors:
Cl (0.000, 0.000, 0.577)
Ta (0.500, 0.500, 0.745)
Br (0.500, 0.500, 0.250)
Br (0.000, 0.000, 0.928)

Its space group is No. 99. Its total magnetization is 0.00 μB per atom. The calculation puts the volume at 20.95 Å³ per atom.



Of them, the most stable is w and the least stable is x.



w | Compound: TaBr2Cl
Source: Alexandria
Functional: GGA-PBEsol
Structure: optimized geometry

a b c (Å): 4.786 7.029 7.029
angles (deg): 83.34 70.09 70.09
Sites, in units of the cell vectors:
Br (0.875, 0.358, 0.142)
Br (0.983, 0.142, 0.642)
Ta (0.750, 0.500, 0.500)
Br (0.767, 0.858, 0.358)
Cl (0.250, 0.500, 0.500)
Cl (0.500, 0.000, 0.000)
Ta (0.000, 0.000, 0.000)
Br (0.375, 0.642, 0.858)

Its space group is No. 122. Its total magnetization is 0.27 μB per atom. The calculation puts the volume at 26.13 Å³ per atom.



x | Compound: TaBr2Cl
Source: Alexandria
Functional: GGA-PBEsol
Structure: optimized geometry

a b c (Å): 3.141 3.141 8.087
angles (deg): 90.00 90.00 90.00
Sites, in units of the cell vectors:
Br (0.000, 0.000, 0.301)
Br (0.000, 0.000, 0.699)
Cl (0.500, 0.500, 0.000)
Ta (0.500, 0.500, 0.500)

Its space group is No. 123. Its total magnetization is 0.03 μB per atom. The calculation puts the volume at 19.95 Å³ per atom.



Of them, the most stable is w and the least stable is x.